(1)
Entry from Alexandria: a relaxed structure of Na5B8C2 (PBE-GGA).

Cell lengths 9.1586, 9.1586, 13.6383 Å; angles 112.34, 112.34, 17.78 degrees
Element x y z (fractional)
Na1 0.9999 0.9999 0.0003
Na2 0.2000 0.2000 0.9008
Na3 0.2006 0.2006 0.3980
Na4 0.4002 0.4002 0.2995
Na5 0.4003 0.4003 0.8020
Na6 0.5993 0.5993 0.6999
Na7 0.5994 0.5994 0.1986
Na8 0.8012 0.8012 0.1012
Na9 0.7998 0.7998 0.6011
Na10 0.9990 0.9990 0.4983
B1 0.6289 0.6289 0.0084
B2 0.7739 0.7739 0.7975
B3 0.8422 0.8422 0.9345
B4 0.5642 0.5642 0.8802
B5 0.8354 0.8354 0.4194
B6 0.0297 0.0297 0.3092
B7 0.7728 0.7728 0.2943
B8 0.0270 0.0270 0.8062
B9 0.1653 0.1653 0.5809
B10 0.2299 0.2299 0.7099
B11 0.9622 0.9622 0.6746
B12 0.2315 0.2315 0.2124
B13 0.4365 0.4365 0.1227
B14 0.1685 0.1685 0.0869
B15 0.6212 0.6212 0.4926
B16 0.3746 0.3746 0.4984
C1 0.9679 0.9679 0.1855
C2 0.3734 0.3734 0.9969
C3 0.4336 0.4336 0.6163
C4 0.5617 0.5617 0.3737

- E above lowest polymorph (meV per atom) = 15.9
- DOS at the Fermi energy (states/eV/atom) = 0.224

=====

(2)
Entry from Alexandria: a relaxed structure of Na5B8C2 (PBE-GGA).

Cell lengths 7.7167, 7.7357, 8.6498 Å; angles 90.00, 90.00, 141.21 degrees
Element x y z (fractional)
Na1 0.1968 0.7970 0.9985
Na2 0.1968 0.7970 0.5015
Na3 0.3985 0.5977 0.0013
Na4 0.3985 0.5977 0.4987
Na5 0.9994 0.9999 0.0024
Na6 0.9994 0.9999 0.4976
Na7 0.5995 0.3992 0.0004
Na8 0.5995 0.3992 0.4996
Na9 0.7998 0.1999 0.9958
Na10 0.7998 0.1999 0.5042
B1 0.1323 0.5283 0.7500
B2 0.4526 0.8537 0.2500
B3 0.1219 0.5221 0.2500
B4 0.4849 0.8687 0.7500
B5 0.6562 0.6605 0.2500
B6 0.3208 0.3309 0.2500
B7 0.6531 0.6655 0.7500
B8 0.9349 0.7367 0.7500
B9 0.2602 0.0556 0.2500
B10 0.9311 0.7196 0.2500
B11 0.2726 0.0909 0.7500
B12 0.5243 0.1224 0.7500
B13 0.5673 0.1597 0.2500
B14 0.8689 0.4719 0.7500
B15 0.7590 0.9665 0.2500
B16 0.0633 0.2513 0.7500
C1 0.3378 0.3419 0.7500
C2 0.8681 0.4630 0.2500
C3 0.7399 0.9352 0.7500
C4 0.0627 0.2684 0.2500

- E above lowest polymorph (meV per atom) = 32.6
- DOS at the Fermi energy (states/eV/atom) = 0.231

=====

(3)
Entry from Alexandria: a relaxed structure of Na2B3C (PBE-GGA).

Cell lengths 9.1311, 9.1354, 9.1299 Å; angles 162.38, 146.62, 37.99 degrees
Element x y z (fractional)
Na1 0.0024 0.0010 0.0019
Na2 0.2500 0.2500 0.0000
Na3 0.4976 0.4990 0.9981
Na4 0.7500 0.7500 0.0000
C1 0.4629 0.1250 0.3385
C2 0.0371 0.3750 0.6615
B1 0.9742 0.6255 0.3491
B2 0.5258 0.8745 0.6509
B3 0.1945 0.8745 0.3189
B4 0.3055 0.6255 0.6811
B5 0.7387 0.3742 0.3629
B6 0.7613 0.1258 0.6371

- E above lowest polymorph (meV per atom) = 6.5
- DOS at the Fermi energy (states/eV/atom) = 0.187

=====

(4)
Entry from Alexandria: a relaxed structure of Na5B8C2 (PBE-GGA).

Cell lengths 7.5225, 7.5233, 9.1225 Å; angles 106.81, 106.79, 41.10 degrees
Element x y z (fractional)
Na1 0.8000 0.8000 0.0000
Na2 0.9002 0.9022 0.5065
Na3 0.6003 0.6002 0.0002
Na4 0.6998 0.6978 0.4934
Na5 0.4007 0.4003 0.9998
Na6 0.5034 0.4991 0.5039
Na7 0.1993 0.1997 0.0002
Na8 0.3000 0.3000 0.5000
Na9 0.9997 0.9998 0.9998
Na10 0.0966 0.1009 0.4961
B1 0.5994 0.2898 0.7499
B2 0.7130 0.9767 0.7499
B3 0.5302 0.1699 0.2502
B4 0.3898 0.6988 0.2500
B5 0.3982 0.1013 0.7502
B6 0.5236 0.7862 0.7501
B7 0.3254 0.9822 0.2500
B8 0.2018 0.4987 0.2498
B9 0.2102 0.9012 0.7500
B10 0.2746 0.6178 0.7500
B11 0.0764 0.8138 0.2499
B12 0.0006 0.3102 0.2501
B13 0.0698 0.4301 0.7498
B14 0.8870 0.6233 0.2501
B15 0.8823 0.2257 0.7500
B16 0.7177 0.3743 0.2500
C1 0.5887 0.9153 0.2502
C2 0.0113 0.6847 0.7498
C3 0.7846 0.1112 0.2498
C4 0.8154 0.4888 0.7502

- E above lowest polymorph (meV per atom) = 18.1
- DOS at the Fermi energy (states/eV/atom) = 0.212

=====

(5)
Entry from Alexandria: a relaxed structure of Na5B8C2 (PBE-GGA).

Cell lengths 9.1456, 9.1456, 13.6695 Å; angles 112.11, 112.11, 17.75 degrees
Element x y z (fractional)
Na1 0.0000 0.0000 0.0000
Na2 0.1998 0.1998 0.9005
Na3 0.1995 0.1995 0.3976
Na4 0.4011 0.4011 0.2986
Na5 0.4013 0.4013 0.8013
Na6 0.5989 0.5989 0.7014
Na7 0.5987 0.5987 0.1987
Na8 0.8002 0.8002 0.0995
Na9 0.8005 0.8005 0.6024
Na10 0.0000 0.0000 0.5000
B1 0.7727 0.7727 0.7953
B2 0.8382 0.8382 0.9267
B3 0.5706 0.5706 0.8922
B4 0.8328 0.8328 0.4150
B5 0.9699 0.9699 0.1881
B6 0.0351 0.0351 0.3196
B7 0.7699 0.7699 0.2890
B8 0.0301 0.0301 0.8119
B9 0.1672 0.1672 0.5850
B10 0.2301 0.2301 0.7110
B11 0.9649 0.9649 0.6804
B12 0.2273 0.2273 0.2047
B13 0.4294 0.4294 0.1078
B14 0.1618 0.1618 0.0733
B15 0.6247 0.6247 0.4995
B16 0.3753 0.3753 0.5005
C1 0.6309 0.6309 0.0113
C2 0.3691 0.3691 0.9887
C3 0.4337 0.4337 0.6170
C4 0.5663 0.5663 0.3830

- E above lowest polymorph (meV per atom) = 13.9
- DOS at the Fermi energy (states/eV/atom) = 0.305

=====

(6)
Entry from Alexandria: a relaxed structure of Na5B8C2 (PBE-GGA).

Cell lengths 13.2584, 13.2584, 8.6586 Å; angles 90.00, 90.00, 167.77 degrees
Element x y z (fractional)
Na1 0.2011 0.7989 0.0005
Na2 0.2011 0.7989 0.4995
Na3 0.3987 0.6013 0.0031
Na4 0.3987 0.6013 0.4969
Na5 0.9994 0.0006 0.0009
Na6 0.9994 0.0006 0.4991
Na7 0.6010 0.3990 0.0000
Na8 0.6010 0.3990 0.5000
Na9 0.7996 0.2004 0.9985
Na10 0.7996 0.2004 0.5015
B1 0.7350 0.2650 0.2500
B2 0.7364 0.2636 0.7500
B3 0.2741 0.7259 0.2500
B4 0.9280 0.0720 0.2500
B5 0.4652 0.5348 0.7500
B6 0.9214 0.0786 0.7500
B7 0.4651 0.5349 0.2500
B8 0.5294 0.4706 0.2500
B9 0.0734 0.9266 0.7500
B10 0.5298 0.4702 0.7500
B11 0.0688 0.9312 0.2500
B12 0.1315 0.8685 0.2500
B13 0.1423 0.8577 0.7500
B14 0.6725 0.3275 0.2500
B15 0.3297 0.6703 0.7500
B16 0.8623 0.1377 0.2500
C1 0.2677 0.7323 0.7500
C2 0.6733 0.3267 0.7500
C3 0.3332 0.6668 0.2500
C4 0.8617 0.1383 0.7500

- E above lowest polymorph (meV per atom) = 17.0
- DOS at the Fermi energy (states/eV/atom) = 0.175

=====

(7)
Entry from Alexandria: a relaxed structure of Na2B3C (PBE-GGA).

Cell lengths 11.6683, 11.6684, 10.0507 Å; angles 106.62, 106.62, 13.98 degrees
Element x y z (fractional)
Na1 0.3998 0.3998 0.8020
Na2 0.5012 0.5012 0.5003
Na3 0.1997 0.1997 0.4008
Na4 0.3002 0.3002 0.0958
Na5 0.9995 0.9995 0.0015
Na6 0.1005 0.1005 0.6997
Na7 0.8008 0.8008 0.6018
Na8 0.9008 0.9008 0.3003
Na9 0.5983 0.5983 0.2029
Na10 0.7001 0.7001 0.8968
B1 0.9243 0.9243 0.5987
B2 0.0827 0.0827 0.4167
B3 0.0143 0.0143 0.2784
B4 0.9911 0.9911 0.7328
B5 0.7143 0.7143 0.1774
B6 0.8806 0.8806 0.0096
B7 0.8112 0.8112 0.8720
B8 0.7776 0.7776 0.3046
B9 0.6232 0.6232 0.4981
B10 0.5825 0.5825 0.9150
B11 0.3203 0.3203 0.3912
B12 0.4208 0.4208 0.0903
B13 0.3846 0.3846 0.5191
B14 0.2166 0.2166 0.6843
B15 0.1728 0.1728 0.0950
C1 0.5206 0.5206 0.7919
C2 0.6851 0.6851 0.6224
C3 0.4830 0.4830 0.2142
C4 0.1132 0.1132 0.9758
C5 0.2802 0.2802 0.8106

- E above lowest polymorph (meV per atom) = 16.9
- DOS at the Fermi energy (states/eV/atom) = 0.304

=====

(8)
Entry from Alexandria: a relaxed structure of Na5B8C2 (PBE-GGA).

Cell lengths 11.8062, 11.8062, 10.1514 Å; angles 106.19, 106.19, 13.73 degrees
Element x y z (fractional)
Na1 0.4000 0.4000 0.8000
Na2 0.5010 0.5010 0.5037
Na3 0.2005 0.2005 0.3996
Na4 0.2990 0.2990 0.0963
Na5 0.9992 0.9992 0.9989
Na6 0.1004 0.1004 0.7027
Na7 0.8008 0.8008 0.6011
Na8 0.9000 0.9000 0.3000
Na9 0.5995 0.5995 0.2004
Na10 0.6996 0.6996 0.8973
B1 0.9242 0.9242 0.5998
B2 0.0858 0.0858 0.4228
B3 0.0229 0.0229 0.2960
B4 0.9912 0.9912 0.7325
B5 0.7142 0.7142 0.1772
B6 0.8758 0.8758 0.0002
B7 0.8088 0.8088 0.8675
B8 0.7771 0.7771 0.3040
B9 0.6270 0.6270 0.5061
B10 0.5829 0.5829 0.9144
B11 0.3199 0.3199 0.3914
B12 0.4801 0.4801 0.2086
B13 0.4162 0.4162 0.0811
B14 0.3838 0.3838 0.5189
B15 0.2171 0.2171 0.6856
B16 0.1730 0.1730 0.0939
C1 0.5214 0.5214 0.7923
C2 0.6861 0.6861 0.6248
C3 0.1139 0.1139 0.9752
C4 0.2786 0.2786 0.8077

- E above lowest polymorph (meV per atom) = 2.9
- DOS at the Fermi energy (states/eV/atom) = 0.203

=====

Results for spin magnetization: 0.00, 0.00, 0.00, 0.00, 0.00, 0.00, 0.00, 0.00 (in Bohr magnetons per cell, following the order of the records).